# 1
Crystalline Sm3Te2Pd at its relaxed geometry, computed with PBE-GGA.

uncorrected formation energy: -1.17 eV per atom
DOS at the Fermi energy: 3.369 states/eV/f.u.
ρ: 7.6 g cm⁻³

abc: 7.471 7.471 7.791
angles: 99.32 99.32 120.18
Fractional coordinates of all 12 atoms:
Sm  0.069  0.422  0.769
Sm  0.219  0.219  0.224
Sm  0.422  0.069  0.769
Sm  0.578  0.931  0.231
Sm  0.781  0.781  0.776
Sm  0.931  0.578  0.231
Te  0.000  0.000  0.500
Te  0.343  0.657  0.500
Te  0.500  0.500  0.000
Te  0.657  0.343  0.500
Pd  0.170  0.830  0.000
Pd  0.830  0.170  0.000

=====

# 2
Crystalline In2RhS4 at its relaxed geometry, computed with PBE-GGA.

uncorrected formation energy: -0.50 eV per atom
DOS at the Fermi energy: 2.306 states/eV/f.u.
ρ: 5.0 g cm⁻³

abc: 7.533 7.533 7.533
angles: 120.03 117.82 91.88
Fractional coordinates of all 14 atoms:
In  0.000  0.000  0.000
In  0.386  0.636  0.750
In  0.500  0.000  0.500
In  0.614  0.364  0.250
Rh  0.000  0.000  0.500
Rh  0.000  0.500  0.000
S  0.198  0.248  0.950
S  0.202  0.752  0.450
S  0.229  0.216  0.487
S  0.229  0.742  0.013
S  0.771  0.258  0.987
S  0.771  0.784  0.513
S  0.798  0.248  0.550
S  0.802  0.752  0.050

=====

# 3
Crystalline CrRuSe2 at its relaxed geometry, computed with PBE-GGA.

uncorrected formation energy: 0.16 eV per atom
DOS at the Fermi energy: 2.365 states/eV/f.u.
ρ: 7.5 g cm⁻³

abc: 5.725 5.725 5.725
angles: 148.48 135.07 55.92
Fractional coordinates of all 4 atoms:
Cr  0.000  0.000  0.000
Ru  0.318  0.818  0.500
Se  0.514  0.514  0.000
Se  0.798  0.298  0.500

=====

# 4
Crystalline Mo2RuPt at its relaxed geometry, computed with PBE-GGA.

DFT formation energy: -22 meV/atom
DOS at the Fermi energy: 4.694 states/eV/f.u.
ρ: 13.3 g cm⁻³

abc: 4.856 4.856 4.786
angles: 99.70 99.70 33.22
Fractional coordinates of all 4 atoms:
Mo  0.248  0.248  0.244
Mo  0.752  0.752  0.756
Ru  0.500  0.500  0.000
Pt  0.000  0.000  0.500

=====

# 5
Crystalline PmZn2Au5 at its relaxed geometry, computed with PBE-GGA.

DFT formation energy: -356 meV/atom
DOS at the Fermi energy: 3.014 states/eV/f.u.
ρ: 13.0 g cm⁻³

abc: 7.002 7.002 7.002
angles: 146.92 119.18 71.01
Fractional coordinates of all 8 atoms:
Pm  0.000  0.000  0.000
Zn  0.264  0.764  0.500
Zn  0.736  0.236  0.500
Au  0.155  0.370  0.785
Au  0.415  0.630  0.785
Au  0.500  0.000  0.500
Au  0.585  0.370  0.215
Au  0.845  0.630  0.215

=====

# 6
Crystalline Pr3Nd6Ho2Er at its relaxed geometry, computed with PBE-GGA.

DFT formation energy: 17 meV/atom
DOS at the Fermi energy: 16.649 states/eV/f.u.
ρ: 7.2 g cm⁻³

abc: 6.334 6.334 12.052
angles: 95.03 95.03 120.01
Fractional coordinates of all 12 atoms:
Pr  0.000  0.000  0.000
Pr  0.333  0.667  0.000
Pr  0.667  0.333  0.000
Nd  0.085  0.418  0.256
Nd  0.249  0.249  0.744
Nd  0.418  0.085  0.256
Nd  0.582  0.915  0.744
Nd  0.751  0.751  0.256
Nd  0.915  0.582  0.744
Ho  0.167  0.833  0.500
Ho  0.833  0.167  0.500
Er  0.500  0.500  0.500

=====

Copy entry 6 word for word.
Crystalline Pr3Nd6Ho2Er at its relaxed geometry, computed with PBE-GGA.

DFT formation energy: 17 meV/atom
DOS at the Fermi energy: 16.649 states/eV/f.u.
ρ: 7.2 g cm⁻³

abc: 6.334 6.334 12.052
angles: 95.03 95.03 120.01
Fractional coordinates of all 12 atoms:
Pr  0.000  0.000  0.000
Pr  0.333  0.667  0.000
Pr  0.667  0.333  0.000
Nd  0.085  0.418  0.256
Nd  0.249  0.249  0.744
Nd  0.418  0.085  0.256
Nd  0.582  0.915  0.744
Nd  0.751  0.751  0.256
Nd  0.915  0.582  0.744
Ho  0.167  0.833  0.500
Ho  0.833  0.167  0.500
Er  0.500  0.500  0.500